Pm2Bi2HO after structural relaxation, computed with GGA-PBE.

Properties
Final energy ... -0.2051 hartree per atom
DOS(E_F) ... 0.5780 states/eV per atom

Unit cell a=8.7886 b=8.7886 c=8.7886 alpha=140.79 beta=56.62 gamma=140.84
Positions (direct):
Pm (0.0765, 0.2319, 0.3084)
Pm (0.4235, 0.7319, 0.1555)
Pm (0.5765, 0.2681, 0.8445)
Pm (0.9235, 0.7681, 0.6916)
Bi (0.1999, 0.7343, 0.9342)
Bi (0.3001, 0.2343, 0.5344)
Bi (0.6999, 0.7657, 0.4656)
Bi (0.8001, 0.2657, 0.0658)
H (0.2500, 0.7500, 0.5000)
H (0.7500, 0.2500, 0.5000)
O (0.2500, 0.2500, 0.0000)
O (0.7500, 0.7500, 0.0000)